No. 1
{
  "formula": "Tl5PbAu",
  "functional": "GGA-PBE",
  "state": "relaxed",
  "relative_energy_mev_per_atom": 0,
  "spacegroup": "No. 123",
  "delta_e_f_mev_per_atom": 16,
  "lattice_angstrom": [[5.072, 0.000, 0.000], [0.000, 5.072, 0.000], [0.000, 0.000, 8.249]],
  "species": ["Tl", "Tl", "Tl", "Tl", "Tl", "Pb", "Au"],
  "fractional_positions": [[0.000, 0.000, 0.000], [0.000, 0.500, 0.288], [0.000, 0.500, 0.712], [0.500, 0.000, 0.288], [0.500, 0.000, 0.712], [0.500, 0.500, 0.000], [0.500, 0.500, 0.500]]
}

---

No. 2
{
  "formula": "TlPbAu2",
  "functional": "GGA-PBE",
  "state": "relaxed",
  "relative_energy_mev_per_atom": 50,
  "spacegroup": "No. 99",
  "delta_e_f_mev_per_atom": -14,
  "lattice_angstrom": [[3.491, 0.000, 0.000], [0.000, 3.491, 0.000], [0.000, 0.000, 8.109]],
  "species": ["Tl", "Pb", "Au", "Au"],
  "fractional_positions": [[0.000, 0.000, 0.000], [0.500, 0.500, 0.645], [0.000, 0.000, 0.424], [0.500, 0.500, 0.233]]
}

---

No. 3
{
  "formula": "TlPbAu2",
  "functional": "GGA-PBE",
  "state": "relaxed",
  "relative_energy_mev_per_atom": 76,
  "spacegroup": "No. 160",
  "delta_e_f_mev_per_atom": 12,
  "lattice_angstrom": [[1.988, 1.148, 7.836], [-1.988, 1.148, 7.836], [0.000, -2.296, 7.836]],
  "species": ["Tl", "Pb", "Au", "Au"],
  "fractional_positions": [[0.000, 0.000, 0.000], [0.218, 0.218, 0.218], [0.478, 0.478, 0.478], [0.743, 0.743, 0.743]]
}

---

No. 4
{
  "formula": "Tl3Pb2Au",
  "functional": "GGA-PBE",
  "state": "relaxed",
  "spacegroup": "No. 11",
  "delta_e_f_mev_per_atom": -6,
  "lattice_angstrom": [[8.146, 0.000, 0.000], [0.000, 3.681, 0.000], [-0.419, 0.000, 11.582]],
  "species": ["Tl", "Tl", "Tl", "Tl", "Tl", "Tl", "Pb", "Pb", "Pb", "Pb", "Au", "Au"],
  "fractional_positions": [[0.096, 0.250, 0.102], [0.350, 0.750, 0.581], [0.390, 0.750, 0.247], [0.610, 0.250, 0.753], [0.650, 0.250, 0.419], [0.904, 0.750, 0.898], [0.087, 0.250, 0.392], [0.339, 0.750, 0.913], [0.661, 0.250, 0.087], [0.913, 0.750, 0.608], [0.149, 0.250, 0.748], [0.851, 0.750, 0.252]]
}